Crystalline SmErHgPb at its relaxed geometry, computed with PBE-GGA.

Values from the calculation:
electronic total energy	-3.78	eV/atom
energy relative to the elements	-456.5	meV per atom
excess energy over the best structure of this formula in the dataset	0.0	kJ per mole of atoms
DOS at the Fermi energy	4.09	states/eV/cell

Cell lengths 4.200, 5.101, 5.112 Å; angles 90.00, 90.00, 90.00 degrees
Space group Pmmm (No. 47)
Inequivalent atoms, fractional coordinates:
Sm1 0.000 0.000 0.000 [1 per cell]
Er1 0.000 0.500 0.500 [1 per cell]
Hg1 0.500 0.500 0.000 [1 per cell]
Pb1 0.500 0.000 0.500 [1 per cell]